First-principles (PBE-GGA) data for an optimized crystal structure of CsTcAuO3, as listed in OQMD.

The structure in CIF format:
```
data_CsTcAuO3
_chemical_formula_sum 'Cs4 Tc4 Au4 O12'
_symmetry_space_group_name_H-M 'P 1'
_symmetry_Int_Tables_number 1
_cell_length_a 12.971
_cell_length_b 3.205
_cell_length_c 10.705
_cell_angle_alpha 90.00
_cell_angle_beta 90.00
_cell_angle_gamma 90.00
loop_
_symmetry_equiv_pos_as_xyz
'x,y,z'
loop_
_atom_site_label
_atom_site_type_symbol
_atom_site_fract_x
_atom_site_fract_y
_atom_site_fract_z
_atom_site_occupancy
Cs1 Cs 0.245 0.250 0.089 1
Cs2 Cs 0.255 0.750 0.589 1
Cs3 Cs 0.745 0.250 0.411 1
Cs4 Cs 0.755 0.750 0.911 1
Tc1 Tc 0.040 0.750 0.373 1
Tc2 Tc 0.460 0.250 0.873 1
Tc3 Tc 0.540 0.750 0.127 1
Tc4 Tc 0.960 0.250 0.627 1
Au1 Au 0.024 0.750 0.902 1
Au2 Au 0.476 0.250 0.402 1
Au3 Au 0.524 0.750 0.598 1
Au4 Au 0.976 0.250 0.098 1
O1 O 0.039 0.750 0.698 1
O2 O 0.075 0.250 0.487 1
O3 O 0.161 0.750 0.302 1
O4 O 0.339 0.250 0.802 1
O5 O 0.425 0.750 0.987 1
O6 O 0.461 0.250 0.198 1
O7 O 0.539 0.750 0.802 1
O8 O 0.575 0.250 0.013 1
O9 O 0.661 0.750 0.198 1
O10 O 0.839 0.250 0.698 1
O11 O 0.925 0.750 0.513 1
O12 O 0.961 0.250 0.302 1
```

Calculated total energy   -142.451 eV for the cell shown
Total magnetization   0.12 μB per cell